<w>
Material: AcLa8Nd2
Method: DFT, PBE
State: relaxed

```
AcLa8Nd2
1.0
5.918 1.886 0.000
2.944 9.030 0.000
1.472 4.515 8.621
La Nd Ac
8 2 1
Cartesian
6.900 7.991 6.531 La
5.903 9.973 3.589 La
3.434 7.441 2.090 La
5.838 6.468 0.000 La
3.024 4.448 0.000 La
5.428 3.475 2.090 La
4.906 11.956 6.531 La
4.431 5.458 5.032 La
1.472 4.515 3.255 Nd
2.944 9.030 5.366 Nd
2.959 0.943 0.000 Ac
```


<x>
Material: AcLa8Nd2
Method: DFT, PBE
State: relaxed

```
AcLa8Nd2
1.0
5.465 0.000 -1.659
-1.067 7.905 -3.515
-0.009 -0.450 9.797
La Nd Ac
8 2 1
Cartesian
1.344 4.083 4.425 La
5.140 1.884 7.100 La
0.680 1.089 2.241 La
2.615 6.555 -1.215 La
3.044 3.373 0.198 La
-0.752 5.572 -2.477 La
1.772 0.901 5.837 La
3.707 6.366 2.382 La
0.350 5.365 1.152 Nd
4.038 2.091 3.471 Nd
2.732 0.000 -0.830 Ac
```


Verdict on stability: <w> comes out at the bottom.


<w>
Material: Ac12La7Nd
Method: DFT, PBE
State: relaxed

```
Ac12La7Nd
1.0
-11.770 0.764 3.638
3.126 -9.904 -6.670
8.521 4.378 7.784
La Nd Ac
7 1 12
Cartesian
0.761 -2.988 -1.071 La
2.778 -4.380 3.305 La
-0.884 -1.774 5.823 La
-0.061 -2.381 2.376 La
-2.189 -5.277 2.278 La
2.067 0.514 2.474 La
-2.901 -0.382 1.447 La
0.000 0.000 0.000 Nd
-6.208 2.016 6.622 Ac
8.304 -0.886 4.089 Ac
-2.280 -8.271 -3.586 Ac
-8.427 -3.876 0.663 Ac
4.053 -2.302 0.773 Ac
6.086 -6.778 -1.870 Ac
-3.018 -3.571 -0.681 Ac
2.895 -1.192 5.433 Ac
1.027 -6.174 0.392 Ac
-4.175 -2.460 3.979 Ac
2.157 3.508 8.338 Ac
-1.149 1.411 4.360 Ac
```


<x>
Material: Ac12La7Nd
Method: DFT, PBE
State: relaxed

```
Ac12La7Nd
1.0
-4.720 3.019 8.990
-0.838 -10.506 -1.072
10.235 2.714 0.301
Ac La Nd
12 7 1
Cartesian
5.874 2.483 6.470 Ac
3.519 0.035 2.503 Ac
-1.196 -7.255 1.749 Ac
7.505 -0.614 0.653 Ac
5.133 -3.810 4.034 Ac
1.159 -4.808 5.716 Ac
1.546 -3.777 1.412 Ac
5.558 -7.104 1.083 Ac
-2.827 -4.158 7.566 Ac
-0.455 -0.963 4.186 Ac
-0.880 2.331 7.136 Ac
3.132 -0.996 6.807 Ac
4.699 -3.896 -0.386 La
-2.779 -3.743 3.959 La
5.118 1.357 0.151 La
-2.360 1.510 4.495 La
-0.419 -5.253 -0.536 La
2.758 2.866 4.646 La
2.339 -2.386 4.110 La
0.000 0.000 0.000 Nd
```


Verdict on stability: <x> comes out at the bottom.


<w>
Material: Ac2LaNd4
Method: DFT, PBE
State: relaxed

```
Ac2LaNd4
1.0
5.784 0.000 0.000
0.000 5.784 0.000
-2.892 -2.892 9.115
Ac Nd La
2 4 1
Cartesian
2.892 2.892 2.309 Ac
0.000 0.000 6.807 Ac
0.000 0.000 3.147 Nd
2.892 0.000 0.000 Nd
2.892 2.892 5.968 Nd
0.000 2.892 0.000 Nd
0.000 0.000 0.000 La
```


<x>
Material: Ac2LaNd4
Method: DFT, PBE
State: relaxed

```
Ac2LaNd4
1.0
7.148 -0.398 -2.327
-4.380 8.651 -2.590
0.766 0.407 8.446
Nd Ac La
8 4 2
Cartesian
1.530 0.986 2.925 Nd
-2.052 8.232 -3.037 Nd
3.105 7.019 0.824 Nd
4.320 2.279 5.245 Nd
-1.676 4.944 4.780 Nd
3.903 5.576 -2.605 Nd
-0.857 3.463 1.299 Nd
0.759 2.399 6.392 Nd
-0.504 7.204 2.019 Ac
5.113 0.890 1.789 Ac
1.937 4.659 3.581 Ac
0.332 5.742 -1.448 Ac
1.549 8.065 -4.237 La
2.725 3.280 0.127 La
```


Verdict on stability: <w> comes out at the bottom.


<w>
Material: AcLaNdTh
Method: DFT, PBE
State: relaxed

```
AcLaNdTh
1.0
-0.823 -3.128 -1.807
3.594 -0.521 -0.734
1.065 -5.580 9.175
Th La Nd Ac
1 1 1 1
Cartesian
0.607 -3.182 5.232 Th
2.233 -6.263 6.028 La
1.753 -3.748 1.893 Nd
0.079 -0.415 0.682 Ac
```


<x>
Material: AcLaNdTh
Method: DFT, PBE
State: relaxed

```
AcLaNdTh
1.0
5.943 0.000 0.000
2.971 5.147 0.000
2.971 1.716 4.852
Nd Th La Ac
1 1 1 1
Cartesian
8.914 5.147 3.639 Nd
0.000 0.000 0.000 Th
2.971 1.716 1.213 La
5.943 3.431 2.426 Ac
```


Verdict on stability: <x> comes out at the bottom.